The following is a DFT calculation (GGA-PBE) of a relaxed LiRe3Ge5 crystal.

- Uncorrected energy: -59.65 eV for the cell shown
- Magnetic moment: 0.0 μB per formula unit
- Space-group type: No. 191

a = 5.187 Å, b = 5.187 Å, c = 7.777 Å
α = 90.00°, β = 90.00°, γ = 120.00°
Element x y z (fractional)
Li (0.000, 0.000, 0.000)
Re (0.000, 0.500, 0.500)
Re (0.500, 0.000, 0.500)
Re (0.500, 0.500, 0.500)
Ge (0.000, 0.000, 0.500)
Ge (0.333, 0.667, 0.205)
Ge (0.333, 0.667, 0.795)
Ge (0.667, 0.333, 0.205)
Ge (0.667, 0.333, 0.795)



The following is a DFT calculation (GGA-PBE) of a relaxed LiReGeW crystal.

- Uncorrected energy: -31.97 eV for the cell shown
- Magnetic moment: 0.0 μB per formula unit
- Space-group type: No. 216

a = 4.314 Å, b = 4.314 Å, c = 4.314 Å
α = 60.00°, β = 60.00°, γ = 60.00°
Element x y z (fractional)
Li (0.000, 0.000, 0.000)
Re (0.500, 0.500, 0.500)
Ge (0.250, 0.250, 0.250)
W (0.750, 0.750, 0.750)



The following is a DFT calculation (GGA-PBE) of a relaxed LiReGeW crystal.

- Uncorrected energy: -29.73 eV for the cell shown
- Magnetic moment: 0.1 μB per formula unit
- Space-group type: No. 216

a = 4.283 Å, b = 4.283 Å, c = 4.283 Å
α = 60.00°, β = 60.00°, γ = 60.00°
Element x y z (fractional)
Li (0.000, 0.000, 0.000)
Re (0.250, 0.250, 0.250)
Ge (0.500, 0.500, 0.500)
W (0.750, 0.750, 0.750)



The following is a DFT calculation (GGA-PBE) of a relaxed Li2ZnGeSe4 crystal.

- Uncorrected energy: -29.79 eV for the cell shown
- Space-group type: No. 121

a = 7.160 Å, b = 7.160 Å, c = 7.160 Å
α = 133.73°, β = 133.73°, γ = 67.52°
Element x y z (fractional)
Li (0.250, 0.750, 0.500)
Li (0.750, 0.250, 0.500)
Zn (0.000, 0.000, 0.000)
Ge (0.500, 0.500, 0.000)
Se (0.137, 0.137, 0.516)
Se (0.379, 0.863, 0.000)
Se (0.621, 0.621, 0.484)
Se (0.863, 0.379, 0.000)